{
  "formula": "ZrAs2PtSe",
  "functional": "GGA-PBE",
  "state": "relaxed",
  "cell": [[4.826, 0.000, 0.000], [0.000, 4.826, 0.000], [0.000, 0.000, 4.977]],
  "species": ["As", "As", "Se", "Zr", "Pt"],
  "frac_coords": [[0.500, 0.000, 0.000], [0.000, 0.500, 0.000], [0.000, 0.000, 0.500], [0.500, 0.500, 0.500], [0.000, 0.000, 0.000]],
  "dos_ef_per_ev_cell": 3.41,
  "raw_formation_energy_ev_per_fu": 1.556,
  "dft_energy_ev_per_atom": -5.163,
  "de_polymorph_ev_per_atom": 0.0000
}